Entry from Alexandria via LeMat-Bulk: BeCdSi2Ag at its PBEsol-relaxed geometry (SCAN).

Output
E, hartree per atom: -0.574
ΔE_f (raw), eV/atom: 1.6132
Size of the total moment, μB/f.u.: 0.0
Crystal system: tetragonal
Space-group type: P4/mmm

Cell and atoms, written as POSCAR:
```
BeCdSi2Ag
1.0
4.872 0.000 0.000
0.000 4.872 0.000
0.000 0.000 5.038
Be Cd Si Ag
1 1 2 1
direct
0.000 0.000 0.000
0.500 0.500 0.500
0.000 0.500 0.500
0.500 0.000 0.500
0.500 0.500 0.000
```

Entry from Alexandria via LeMat-Bulk: Be2ReP at its PBEsol-relaxed geometry (SCAN).

Output
E, hartree per atom: -0.828
Size of the total moment, μB/f.u.: 0.0
Crystal system: orthorhombic
Space-group type: Pmmm
Energy relative to the lowest polymorph listed for this composition, kJ/mol of atoms: 18.7

Cell and atoms, written as POSCAR:
```
Be2ReP
1.0
2.927 0.000 0.000
0.000 3.419 0.000
0.000 0.000 4.365
Be Re P
2 1 1
direct
0.000 0.000 0.233
0.000 0.000 0.767
0.500 0.500 0.000
0.000 0.500 0.500
```

Entry from Alexandria via LeMat-Bulk: Ba2YC2O6F3 at its PBEsol-relaxed geometry (SCAN).

Output
E, hartree per atom: -0.571
ΔE_f (raw), eV/atom: -3.0401
Size of the total moment, μB/f.u.: 0.0
Crystal system: orthorhombic
Space-group type: Pbcn

Cell and atoms, written as POSCAR:
```
Ba2YC2O6F3
1.0
9.445 0.000 0.000
0.000 6.930 0.000
0.000 0.000 11.749
Ba Y C O F
8 4 8 24 12
direct
0.120 0.238 0.071
0.120 0.762 0.571
0.380 0.262 0.571
0.380 0.738 0.071
0.620 0.262 0.929
0.620 0.738 0.429
0.880 0.238 0.429
0.880 0.762 0.929
0.000 0.228 0.750
0.000 0.772 0.250
0.500 0.272 0.250
0.500 0.728 0.750
0.194 0.479 0.320
0.194 0.521 0.820
0.306 0.021 0.820
0.306 0.979 0.320
0.694 0.021 0.680
0.694 0.979 0.180
0.806 0.479 0.180
0.806 0.521 0.680
0.088 0.480 0.886
0.088 0.520 0.386
0.187 0.455 0.716
0.187 0.545 0.216
0.201 0.122 0.855
0.201 0.878 0.355
0.299 0.378 0.355
0.299 0.622 0.855
0.313 0.045 0.216
0.313 0.955 0.716
0.412 0.020 0.386
0.412 0.980 0.886
0.588 0.020 0.114
0.588 0.980 0.614
0.687 0.045 0.284
0.687 0.955 0.784
0.701 0.378 0.145
0.701 0.622 0.645
0.799 0.122 0.645
0.799 0.878 0.145
0.813 0.455 0.784
0.813 0.545 0.284
0.912 0.480 0.614
0.912 0.520 0.114
0.000 0.099 0.250
0.000 0.901 0.750
0.094 0.150 0.578
0.094 0.850 0.078
0.406 0.350 0.078
0.406 0.650 0.578
0.500 0.401 0.750
0.500 0.599 0.250
0.594 0.350 0.422
0.594 0.650 0.922
0.906 0.150 0.922
0.906 0.850 0.422
```

Entry from Alexandria via LeMat-Bulk: Ba5Au3 at its PBEsol-relaxed geometry (SCAN).

Output
E, hartree per atom: -1.884
Size of the total moment, μB/f.u.: 0.0
Crystal system: tetragonal
Space-group type: I4/mcm
Energy relative to the lowest polymorph listed for this composition, kJ/mol of atoms: 4.4

Cell and atoms, written as POSCAR:
```
Ba5Au3
1.0
-6.348 6.348 3.577
6.348 -6.348 3.577
6.348 6.348 -3.577
Ba Au
10 6
direct
0.084 0.793 0.877
0.207 0.084 0.291
0.250 0.750 0.500
0.293 0.584 0.877
0.416 0.293 0.709
0.584 0.707 0.291
0.707 0.416 0.123
0.750 0.250 0.500
0.793 0.916 0.709
0.916 0.207 0.123
0.155 0.345 0.500
0.250 0.250 0.000
0.345 0.845 0.190
0.655 0.155 0.810
0.750 0.750 0.000
0.845 0.655 0.500
```

Entry from Alexandria via LeMat-Bulk: ScHg2Ru at its PBEsol-relaxed geometry (SCAN).

Output
E, hartree per atom: -1.704
Size of the total moment, μB/f.u.: 0.9
Crystal system: cubic
Space-group type: F-43m
Energy relative to the lowest polymorph listed for this composition, kJ/mol of atoms: 14.0

Cell and atoms, written as POSCAR:
```
ScHg2Ru
1.0
0.000 3.305 3.305
3.305 0.000 3.305
3.305 3.305 0.000
Sc Hg Ru
1 2 1
direct
0.000 0.000 0.000
0.500 0.500 0.500
0.750 0.750 0.750
0.250 0.250 0.250
```

Entry from Alexandria via LeMat-Bulk: TlZnMo2 at its PBEsol-relaxed geometry (SCAN).

Output
E, hartree per atom: -1.411
Size of the total moment, μB/f.u.: 0.0
Crystal system: orthorhombic
Space-group type: Pmmm
Energy relative to the lowest polymorph listed for this composition, kJ/mol of atoms: 17.7

Cell and atoms, written as POSCAR:
```
TlZnMo2
1.0
3.327 0.000 0.000
0.000 4.335 0.000
0.000 0.000 4.546
Tl Zn Mo
1 1 2
direct
0.000 0.000 0.000
0.500 0.500 0.000
0.000 0.500 0.500
0.500 0.000 0.500
```

Entry from Alexandria via LeMat-Bulk: FeNi2Ir at its PBEsol-relaxed geometry (SCAN).

Output
E, hartree per atom: -1.120
Size of the total moment, μB/f.u.: 5.2
Crystal system: orthorhombic
Space-group type: Pmmm

Cell and atoms, written as POSCAR:
```
FeNi2Ir
1.0
2.555 0.000 0.000
0.000 3.616 0.000
0.000 0.000 5.053
Fe Ni Ir
1 2 1
direct
0.000 0.000 0.000
0.500 0.500 0.246
0.500 0.500 0.754
0.000 0.000 0.500
```

Entry from Alexandria via LeMat-Bulk: CoHgIr at its PBEsol-relaxed geometry (SCAN).

Output
E, hartree per atom: -1.905
Size of the total moment, μB/f.u.: 2.6
Crystal system: tetragonal
Space-group type: I4mm

Cell and atoms, written as POSCAR:
```
CoHgIr
1.0
-1.400 1.400 5.627
1.400 -1.400 5.627
1.400 1.400 -5.627
Co Hg Ir
1 1 1
direct
0.000 0.000 0.000
0.674 0.674 0.000
0.366 0.366 0.000
```

Entry from Alexandria via LeMat-Bulk: RbSeS2 at its PBEsol-relaxed geometry (SCAN).

Output
E, hartree per atom: -0.561
ΔE_f (raw), eV/atom: -0.2515
Size of the total moment, μB/f.u.: 0.0
Crystal system: tetragonal
Space-group type: I-42d

Cell and atoms, written as POSCAR:
```
RbSeS2
1.0
-3.220 3.220 6.493
3.220 -3.220 6.493
3.220 3.220 -6.493
Rb Se S
2 2 4
direct
0.000 0.000 0.000
0.750 0.250 0.500
0.250 0.750 0.500
0.500 0.500 0.000
0.255 0.625 0.130
0.375 0.505 0.630
0.495 0.125 0.870
0.875 0.745 0.370
```

Entry from Alexandria via LeMat-Bulk: Ca2OsW at its PBEsol-relaxed geometry (SCAN).

Output
E, hartree per atom: -1.450
Size of the total moment, μB/f.u.: 0.0
Crystal system: orthorhombic
Space-group type: Immm

Cell and atoms, written as POSCAR:
```
Ca2OsW
1.0
-1.628 2.229 5.199
1.628 -2.229 5.199
1.628 2.229 -5.199
Ca Os W
2 1 1
direct
0.223 0.223 0.000
0.777 0.777 0.000
0.000 0.500 0.500
0.500 0.000 0.500
```

Entry from Alexandria via LeMat-Bulk: AlZnGa3 at its PBEsol-relaxed geometry (SCAN).

Output
E, hartree per atom: -0.498
Size of the total moment, μB/f.u.: 0.0
Crystal system: cubic
Space-group type: Pm-3m

Cell and atoms, written as POSCAR:
```
AlZnGa3
1.0
4.738 0.000 0.000
0.000 4.738 0.000
0.000 0.000 4.738
Al Zn Ga
1 1 3
direct
0.000 0.000 0.000
0.500 0.500 0.500
0.000 0.500 0.500
0.500 0.000 0.500
0.500 0.500 0.000
```

Entry from Alexandria via LeMat-Bulk: ZnAuSe2 at its PBEsol-relaxed geometry (SCAN).

Output
E, hartree per atom: -1.114
ΔE_f (raw), eV/atom: 0.4057
Size of the total moment, μB/f.u.: 0.0
Crystal system: tetragonal
Space-group type: P4/mmm

Cell and atoms, written as POSCAR:
```
ZnAuSe2
1.0
3.160 0.000 0.000
0.000 3.160 0.000
0.000 0.000 7.246
Zn Au Se
1 1 2
direct
0.000 0.000 0.000
0.000 0.000 0.500
0.500 0.500 0.237
0.500 0.500 0.763
```

Entry from Alexandria via LeMat-Bulk: K3LiH at its PBEsol-relaxed geometry (SCAN).

Output
E, hartree per atom: -0.226
Size of the total moment, μB/f.u.: 0.6
Crystal system: cubic
Space-group type: Pm-3m

Cell and atoms, written as POSCAR:
```
K3LiH
1.0
5.769 0.000 0.000
0.000 5.769 0.000
0.000 0.000 5.769
K Li H
3 1 1
direct
0.000 0.000 0.500
0.000 0.500 0.000
0.500 0.000 0.000
0.500 0.500 0.500
0.000 0.000 0.000
```

Entry from Alexandria via LeMat-Bulk: Sr3Mn at its PBEsol-relaxed geometry (SCAN).

Output
E, hartree per atom: -0.772
Size of the total moment, μB/f.u.: 4.6
Crystal system: cubic
Space-group type: Fm-3m

Cell and atoms, written as POSCAR:
```
Sr3Mn
1.0
0.000 4.229 4.229
4.229 0.000 4.229
4.229 4.229 0.000
Sr Mn
3 1
direct
0.000 0.000 0.000
0.250 0.250 0.250
0.750 0.750 0.750
0.500 0.500 0.500
```

Entry from Alexandria via LeMat-Bulk: CsLa3Si at its PBEsol-relaxed geometry (SCAN).

Output
E, hartree per atom: -1.298
ΔE_f (raw), eV/atom: 0.1135
Size of the total moment, μB/f.u.: 0.0
Crystal system: cubic
Space-group type: Pm-3m
Energy relative to the lowest polymorph listed for this composition, kJ/mol of atoms: 0.0

Cell and atoms, written as POSCAR:
```
CsLa3Si
1.0
5.867 0.000 0.000
0.000 5.867 0.000
0.000 0.000 5.867
Cs La Si
1 3 1
direct
0.000 0.000 0.000
0.000 0.500 0.500
0.500 0.000 0.500
0.500 0.500 0.000
0.500 0.500 0.500
```

Entry from Alexandria via LeMat-Bulk: ScSn3Os at its PBEsol-relaxed geometry (SCAN).

Output
E, hartree per atom: -1.408
Size of the total moment, μB/f.u.: 0.0
Crystal system: cubic
Space-group type: Pm-3m
Energy relative to the lowest polymorph listed for this composition, kJ/mol of atoms: 0.0

Cell and atoms, written as POSCAR:
```
ScSn3Os
1.0
5.079 0.000 0.000
0.000 5.079 0.000
0.000 0.000 5.079
Sc Sn Os
1 3 1
direct
0.000 0.000 0.000
0.000 0.500 0.500
0.500 0.000 0.500
0.500 0.500 0.000
0.500 0.500 0.500
```

Entry from Alexandria via LeMat-Bulk: KLiIr at its PBEsol-relaxed geometry (SCAN).

Output
E, hartree per atom: -0.963
Size of the total moment, μB/f.u.: 1.0
Crystal system: cubic
Space-group type: F-43m
Energy relative to the lowest polymorph listed for this composition, kJ/mol of atoms: 62.0

Cell and atoms, written as POSCAR:
```
KLiIr
1.0
0.000 3.253 3.253
3.253 0.000 3.253
3.253 3.253 0.000
K Li Ir
1 1 1
direct
0.000 0.000 0.000
0.750 0.750 0.750
0.500 0.500 0.500
```

Entry from Alexandria via LeMat-Bulk: MnNiO3 at its PBEsol-relaxed geometry (SCAN).

Output
E, hartree per atom: -0.459
ΔE_f (raw), eV/atom: -1.8775
Size of the total moment, μB/f.u.: 1.0
Crystal system: trigonal
Space-group type: R-3

Cell and atoms, written as POSCAR:
```
MnNiO3
1.0
2.417 1.395 4.441
-2.417 1.395 4.441
0.000 -2.791 4.441
Mn Ni O
2 2 6
direct
0.153 0.153 0.153
0.847 0.847 0.847
0.354 0.354 0.354
0.646 0.646 0.646
0.054 0.766 0.441
0.234 0.559 0.946
0.441 0.054 0.766
0.559 0.946 0.234
0.766 0.441 0.054
0.946 0.234 0.559
```

Entry from Alexandria via LeMat-Bulk: SrLi2As2 at its PBEsol-relaxed geometry (SCAN).

Output
E, hartree per atom: -0.531
Size of the total moment, μB/f.u.: 0.0
Crystal system: tetragonal
Space-group type: I4/mmm

Cell and atoms, written as POSCAR:
```
SrLi2As2
1.0
-2.153 2.153 5.387
2.153 -2.153 5.387
2.153 2.153 -5.387
Sr Li As
1 2 2
direct
0.000 0.000 0.000
0.250 0.750 0.500
0.750 0.250 0.500
0.383 0.383 0.000
0.617 0.617 0.000
```

Entry from Alexandria via LeMat-Bulk: InCoPb2 at its PBEsol-relaxed geometry (SCAN).

Output
E, hartree per atom: -1.838
Size of the total moment, μB/f.u.: 1.9
Crystal system: tetragonal
Space-group type: P4/mmm

Cell and atoms, written as POSCAR:
```
InCoPb2
1.0
4.697 0.000 0.000
0.000 4.697 0.000
0.000 0.000 4.090
In Co Pb
1 1 2
direct
0.000 0.000 0.000
0.500 0.500 0.000
0.000 0.500 0.500
0.500 0.000 0.500
```

Entry from Alexandria via LeMat-Bulk: MnHg2Sb at its PBEsol-relaxed geometry (SCAN).

Output
E, hartree per atom: -1.760
ΔE_f (raw), eV/atom: 0.0759
Size of the total moment, μB/f.u.: 3.7
Crystal system: trigonal
Space-group type: R3m

Cell and atoms, written as POSCAR:
```
MnHg2Sb
1.0
1.665 0.961 8.795
-1.665 0.961 8.795
0.000 -1.922 8.795
Mn Hg Sb
1 2 1
direct
0.000 0.000 0.000
0.259 0.259 0.259
0.503 0.503 0.503
0.737 0.737 0.737
```

Entry from Alexandria via LeMat-Bulk: LaYTl2 at its PBEsol-relaxed geometry (SCAN).

Output
E, hartree per atom: -2.003
Size of the total moment, μB/f.u.: 0.0
Crystal system: monoclinic
Space-group type: Pm

Cell and atoms, written as POSCAR:
```
LaYTl2
1.0
3.860 0.000 0.000
0.000 5.401 0.000
-0.001 0.000 5.402
La Y Tl
1 1 2
direct
0.000 0.000 0.000
0.001 0.500 0.501
0.500 0.000 0.500
0.500 0.500 0.002
```

Entry from Alexandria via LeMat-Bulk: CaTiBiO5 at its PBEsol-relaxed geometry (SCAN).

Output
E, hartree per atom: -0.712
ΔE_f (raw), eV/atom: -2.4354
Size of the total moment, μB/f.u.: 0.0
Crystal system: triclinic
Space-group type: P-1

Cell and atoms, written as POSCAR:
```
CaTiBiO5
1.0
5.716 0.000 0.000
2.228 8.017 0.000
1.254 1.081 10.710
Ca Ti Bi O
4 4 4 20
direct
0.018 0.274 0.108
0.048 0.855 0.386
0.952 0.145 0.614
0.982 0.726 0.892
0.354 0.973 0.869
0.393 0.436 0.619
0.607 0.564 0.381
0.646 0.027 0.131
0.477 0.175 0.397
0.496 0.635 0.100
0.504 0.365 0.900
0.523 0.825 0.603
0.180 0.944 0.749
0.231 0.302 0.575
0.251 0.825 0.994
0.260 0.533 0.774
0.271 0.480 0.050
0.273 0.992 0.479
0.288 0.187 0.924
0.332 0.635 0.512
0.336 0.682 0.276
0.349 0.106 0.201
0.651 0.894 0.799
0.664 0.318 0.724
0.668 0.365 0.488
0.712 0.813 0.076
0.727 0.008 0.521
0.729 0.520 0.950
0.740 0.467 0.226
0.749 0.175 0.006
0.769 0.698 0.425
0.820 0.056 0.251
```

Entry from Alexandria via LeMat-Bulk: ErCuSi at its PBEsol-relaxed geometry (SCAN).

Output
E, hartree per atom: -0.950
ΔE_f (raw), eV/atom: -0.6773
Size of the total moment, μB/f.u.: 0.0
Crystal system: hexagonal
Space-group type: P-6m2

Cell and atoms, written as POSCAR:
```
ErCuSi
1.0
4.075 0.000 0.000
-2.038 3.529 0.000
0.000 0.000 3.610
Er Cu Si
1 1 1
direct
0.000 0.000 0.000
0.333 0.667 0.500
0.667 0.333 0.500
```